Entry 1:
Tm4ThAg5: optimized geometry, PBE-GGA.

Cell lengths 3.563, 3.563, 18.622 Å; angles 90.00, 90.00, 90.00 degrees
Positions (direct):
Tm 0.000 0.000 0.208
Tm 0.000 0.000 0.402
Tm 0.000 0.000 0.598
Tm 0.000 0.000 0.792
Th 0.000 0.000 0.000
Ag 0.500 0.500 0.114
Ag 0.500 0.500 0.305
Ag 0.500 0.500 0.500
Ag 0.500 0.500 0.695
Ag 0.500 0.500 0.886

## Properties
Energy of formation (eV per atom): -0.2798
Volume (Å³/cell): 236.34
E_tot (eV per atom): -4.236
Total magnetic moment (μB per formula unit): 0.001

Entry 2:
DyGe2Pt3: optimized geometry, PBE-GGA.

Cell lengths 4.018, 8.580, 10.121 Å; angles 106.30, 90.00, 103.54 degrees
Positions (direct):
Dy 0.153 0.306 0.689
Dy 0.847 0.694 0.311
Dy 0.000 0.000 0.000
Ge 0.199 0.397 0.131
Ge 0.801 0.603 0.869
Ge 0.459 0.919 0.221
Ge 0.541 0.081 0.779
Ge 0.362 0.723 0.550
Ge 0.638 0.277 0.450
Pt 0.039 0.079 0.329
Pt 0.961 0.921 0.671
Pt 0.224 0.448 0.385
Pt 0.776 0.552 0.615
Pt 0.613 0.226 0.187
Pt 0.387 0.774 0.813
Pt 0.500 0.000 0.500
Pt 0.324 0.649 0.045
Pt 0.676 0.351 0.955

## Properties
Energy of formation (eV per atom): -0.8438
Volume (Å³/cell): 324.81
E_tot (eV per atom): -6.170
Total magnetic moment (μB per formula unit): 0.000